Entry 1:
VASP calculation (PBE) on a geometry-optimized Tb4Pm3Zn structure.

DFT total energy: -34.64 eV for the cell shown
Crystal system: tetragonal
N(E_F): 1.165 states/eV/atom
ΔE_f: -0.07 eV/atom

Cell: 3.5968 3.5968 18.9682 Å, 90.00 90.00 90.00°
With the nearest neighbours (Å) after each atom.
Space group P4/mmm (No. 123)
Symmetry-distinct sites (fractional):
Tb (0.0000, 0.0000, 0.0935) [2 per cell]  4 Zn 3.10
Tb (0.0000, 0.0000, 0.3648) [2 per cell]  4 Tb 3.60, 8 Pm 3.60-3.61
Pm (0.5000, 0.5000, 0.2304) [2 per cell]  4 Pm 3.60, 8 Tb 3.60-3.63
Pm (0.5000, 0.5000, 0.5000) [1 per cell]  4 Pm 3.60, 8 Tb 3.61
Zn (0.5000, 0.5000, 0.0000) [1 per cell]  8 Tb 3.10

Entry 2:
VASP calculation (PBE) on a geometry-optimized TbPm6Zn2 structure.

DFT total energy: -73.83 eV for the cell shown
Crystal system: monoclinic
N(E_F): 1.047 states/eV/atom
ΔE_f: -0.14 eV/atom

Cell: 12.7297 3.7065 12.0277 Å, 90.00 109.55 90.00°
With the nearest neighbours (Å) after each atom.
Space group C2/m (No. 12)
Symmetry-distinct sites (fractional):
Tb (0.0000, 0.0000, 0.0000) [2 per cell]  4 Zn 3.09
Pm (0.0265, 0.0000, 0.3272) [4 per cell]  2 Zn 3.12, 1 Pm 3.43
Pm (0.1883, 0.5000, 0.5914) [4 per cell]  2 Zn 3.29, 6 Pm 3.41-3.66
Pm (0.1896, 0.5000, 0.8756) [4 per cell]  2 Zn 3.15, 3 Pm 3.41-3.42
Zn (0.1446, 0.5000, 0.1973) [4 per cell]  2 Tb 3.09, 6 Pm 3.12-3.29

Entry 3:
VASP calculation (PBE) on a geometry-optimized Tb5Pm4Zn structure.

DFT total energy: -43.99 eV for the cell shown
Crystal system: tetragonal
N(E_F): 1.146 states/eV/atom
ΔE_f: -0.06 eV/atom

Cell: 3.5993 3.5993 24.0555 Å, 90.00 90.00 90.00°
With the nearest neighbours (Å) after each atom.
Space group P4/mmm (No. 123)
Symmetry-distinct sites (fractional):
Tb (0.0000, 0.0000, 0.0000) [1 per cell]  4 Tb 3.60, 8 Pm 3.60
Tb (0.0000, 0.0000, 0.2132) [2 per cell]  8 Pm 3.59-3.62, 4 Tb 3.60
Tb (0.0000, 0.0000, 0.4269) [2 per cell]  4 Zn 3.09
Pm (0.5000, 0.5000, 0.1060) [2 per cell]  4 Pm 3.60, 8 Tb 3.60-3.62
Pm (0.5000, 0.5000, 0.3187) [2 per cell]  8 Tb 3.59-3.64, 4 Pm 3.60
Zn (0.5000, 0.5000, 0.5000) [1 per cell]  8 Tb 3.09

Entry 4:
VASP calculation (PBE) on a geometry-optimized Tb2PmZn9 structure.

DFT total energy: -87.93 eV for the cell shown
Crystal system: trigonal
N(E_F): 0.573 states/eV/atom
ΔE_f: -0.32 eV/atom

Cell: 5.4725 5.4725 25.8878 Å, 90.00 90.00 120.00°
With the nearest neighbours (Å) after each atom.
Space group R-3m (No. 166, hexagonal axes)
Symmetry-distinct sites (fractional):
Tb (0.0000, 0.0000, 0.1403) [6 per cell]  12 Zn 3.12-3.25, 3 Tb 3.44
Pm (0.0000, 0.0000, 0.0000) [3 per cell]  18 Zn 3.16-3.47
Zn (0.0000, 0.0000, 0.3350) [6 per cell]  6 Zn 2.64-2.68
Zn (0.0000, 0.0000, 0.5000) [3 per cell]  6 Zn 2.70
Zn (0.0060, 0.5030, 0.9174) [18 per cell]  7 Zn 2.64-2.79